No. 1
Compound: Cs2ScNbTc
Source: the Alexandria database
Functional: meta-GGA SCAN
Structure: PBEsol geometry

Values from the calculation:
As for the calculated volume: 35.84 Å³/atom. For the density of states at the Fermi level, the calculation gives 5.10 states/eV per cell. The calculation puts the formation enthalpy at 0 K at 2.111 eV/atom. As for the electronic total energy: -1.0840 hartree per atom.

Unit cell a=5.0448 b=5.9597 c=5.9597 alpha=90.00 beta=90.00 gamma=90.00
Each line ends with the local moment (μB).
Element x y z (fractional)
Cs  0.0000  0.0000  0.5000  0.04
Cs  0.0000  0.5000  0.0000  0.04
Sc  0.5000  0.0000  0.0000  -0.20
Nb  0.0000  0.0000  0.0000  1.29
Tc  0.5000  0.5000  0.5000  3.62

No. 2
Compound: CsNbSe3
Source: the Alexandria database
Functional: meta-GGA SCAN
Structure: PBEsol geometry

Values from the calculation:
The uncorrected formation energy is -1077 meV/atom. As for the calculated volume: 37.65 Å³/atom. As for the electronic total energy: -1.0037 hartree per atom.

Unit cell a=6.2982 b=8.3077 c=8.3077 alpha=120.00 beta=90.00 gamma=90.00
Element x y z (fractional)
Cs  0.4681  0.3333  0.6667
Cs  0.9681  0.6667  0.3333
Nb  0.4289  0.0000  0.0000
Nb  0.9289  0.0000  0.0000
Se  0.1754  0.0214  0.7676
Se  0.6754  0.2537  0.2324
Se  0.1754  0.2324  0.2537
Se  0.1754  0.7463  0.9786
Se  0.6754  0.9786  0.7463
Se  0.6754  0.7676  0.0214

No. 3
Compound: CsSrNb3
Source: the Alexandria database
Functional: meta-GGA SCAN
Structure: PBEsol geometry

Values from the calculation:
As for the calculated volume: 27.69 Å³/atom. For the density of states at the Fermi level, the calculation gives 6.40 states/eV per cell. The calculation puts the formation enthalpy at 0 K at 2.878 eV/atom. As for the electronic total energy: -1.0663 hartree per atom.

Unit cell a=5.1736 b=5.1736 c=5.1736 alpha=90.00 beta=90.00 gamma=90.00
Element x y z (fractional)
Cs  0.5000  0.5000  0.5000
Sr  0.0000  0.0000  0.0000
Nb  0.0000  0.5000  0.0000
Nb  0.0000  0.0000  0.5000
Nb  0.5000  0.0000  0.0000

No. 4
Compound: CsTaNb3
Source: the Alexandria database
Functional: meta-GGA SCAN
Structure: PBEsol geometry

Values from the calculation:
As for the calculated volume: 25.83 Å³/atom. For the density of states at the Fermi level, the calculation gives 4.11 states/eV per cell. The calculation puts the formation enthalpy at 0 K at 1.700 eV/atom. As for the electronic total energy: -1.4353 hartree per atom.

Unit cell a=5.0550 b=5.0550 c=5.0550 alpha=90.00 beta=90.00 gamma=90.00
Element x y z (fractional)
Cs  0.5000  0.5000  0.5000
Nb  0.0000  0.5000  0.0000
Nb  0.0000  0.0000  0.5000
Nb  0.5000  0.0000  0.0000
Ta  0.0000  0.0000  0.0000